# 1
{"formula": "Ba3RuO4", "functional": "PBE-GGA", "state": "optimized geometry", "dos_ef_per_ev_fu": 0.6, "formation_energy_uncorrected_mev_per_atom": -1881, "magnetic_moment_mub_per_atom": 0.2500, "lattice_angstrom": [[5.5866, 0.0000, 0.0000], [0.0000, 6.1030, 0.0000], [0.0000, 0.0000, 9.2871]], "species": ["Ba", "Ba", "Ba", "Ba", "Ba", "Ba", "Ru", "Ru", "O", "O", "O", "O", "O", "O", "O", "O"], "frac_coords": [[0.5609, 0.8403, 0.0000], [0.0270, 0.7012, 0.2465], [0.5270, 0.2988, 0.2535], [0.0609, 0.1597, 0.5000], [0.5270, 0.2988, 0.7465], [0.0270, 0.7012, 0.7535], [0.9920, 0.2218, 0.0000], [0.4920, 0.7782, 0.5000], [0.1066, 0.9178, 0.0000], [0.7800, 0.4777, 0.0000], [0.0109, 0.2430, 0.2281], [0.5109, 0.7570, 0.2719], [0.2800, 0.5223, 0.5000], [0.6066, 0.0822, 0.5000], [0.5109, 0.7570, 0.7281], [0.0109, 0.2430, 0.7719]]}

=====

# 2
{"formula": "Sc2CuPb", "functional": "PBE-GGA", "state": "optimized geometry", "dos_ef_per_ev_fu": 3.2, "magnetic_moment_mub_per_atom": 0.2044, "e_tot_ev_per_atom": -5.20, "lattice_angstrom": [[-2.4029, 0.6600, -2.6691], [-2.2916, -2.4395, 1.4598], [-2.7276, 4.7318, 3.6256]], "species": ["Cu", "Pb", "Sc", "Sc"], "frac_coords": [[0.0000, 0.0000, 0.4719], [0.5000, 0.5000, 0.7383], [0.0000, 0.0000, 0.0088], [0.5000, 0.5000, 0.2810]]}

=====

# 3
{"formula": "SrNd2Tl", "functional": "PBE-GGA", "state": "optimized geometry", "dos_ef_per_ev_fu": 4.1, "magnetic_moment_mub_per_atom": 0.0000, "e_above_lowest_polymorph_mev_per_atom": 0, "lattice_angstrom": [[-0.7755, -2.6495, -4.2885], [-0.4100, -4.3144, 2.7397], [-5.0509, 0.7613, 0.4430]], "species": ["Sr", "Tl", "Nd", "Nd"], "frac_coords": [[0.5000, 0.5000, 0.5000], [0.5000, 0.0000, 0.0000], [0.0000, 0.0000, 0.5000], [0.0000, 0.5000, 0.0000]]}